This record from the Alexandria database describes a geometry-optimized Ba8Pt3NCl4 structure. The functional is PBE.

Calculated values
total energy = -0.323 Ry per atom
total magnetization = 0.00 μB/f.u.
symmetry = C2/m, No. 12
formation energy without anion corrections = -1.3204 eV per atom

Unit cell a=8.9461 b=9.4300 c=8.9453 alpha=118.32 beta=120.00 gamma=90.00
Last column: nearest neighbours and their distance in Å.
Sites, in units of the cell vectors:
Ba 0.2231 0.7046 0.9814  1 N 2.89, 2 Pt 3.13
Ba 0.2240 0.7053 0.4480  1 N 2.90, 2 Pt 3.13
Ba 0.2558 0.2670 0.5115  3 Pt 3.17, 3 Cl 3.33
Ba 0.7583 0.7046 0.9814  1 N 2.89, 2 Pt 3.13
Ba 0.2417 0.2954 0.0186  1 N 2.89, 2 Pt 3.13
Ba 0.7442 0.7330 0.4885  3 Pt 3.17, 3 Cl 3.33
Ba 0.7760 0.2947 0.5520  1 N 2.90, 2 Pt 3.13
Ba 0.7769 0.2954 0.0186  1 N 2.89, 2 Pt 3.13
Pt 0.5000 0.5000 0.0000  6 Ba 3.13-3.17
Pt 0.5000 0.5000 0.5000  6 Ba 3.13-3.17
Pt 0.0000 0.5000 0.5000  6 Ba 3.13-3.17
N 0.0000 0.5000 0.0000  6 Ba 2.89-2.90
Cl 0.5000 0.0000 0.0000  6 Ba 3.60-3.62
Cl 0.5000 0.0000 0.5000  6 Ba 3.33-3.41
Cl 0.0000 0.0000 0.0000  6 Ba 3.33-3.41
Cl 0.0000 0.0000 0.5000  6 Ba 3.33-3.41